[1]
SrRhN2: optimized geometry, PBEsol.

Values from the calculation:
As for the total energy: -6.15 eV/atom. Its density of states at the Fermi level is 0.515 states/eV per atom. The symmetry is Fm-3m. For the uncorrected formation energy, the calculation gives 0.607 eV/atom. The calculation puts the offset from the most stable computed form at 0.702 eV/atom.

The structure in POSCAR format:
```
SrRhN2
1.0
5.7689 0.0000 0.0000
0.0000 5.7689 0.0000
0.0000 0.0000 5.7689
Sr Rh N
4 4 8
direct
0.0000 0.0000 0.0000
0.0000 0.5000 0.5000
0.5000 0.0000 0.5000
0.5000 0.5000 0.0000
0.0000 0.0000 0.5000
0.0000 0.5000 0.0000
0.5000 0.0000 0.0000
0.5000 0.5000 0.5000
0.2500 0.2500 0.2500
0.2500 0.2500 0.7500
0.2500 0.7500 0.2500
0.2500 0.7500 0.7500
0.7500 0.2500 0.2500
0.7500 0.2500 0.7500
0.7500 0.7500 0.2500
0.7500 0.7500 0.7500
```

***

[2]
Ta2InPt: optimized geometry, PBEsol.

Values from the calculation:
As for the total energy: -8.99 eV/atom. Its density of states at the Fermi level is 0.595 states/eV per atom. Its formation enthalpy at 0 K is -0.91 eV per formula unit. The symmetry is P4/mmm.

The structure in POSCAR format:
```
Ta2InPt
1.0
2.8573 0.0000 0.0000
0.0000 2.8573 0.0000
0.0000 0.0000 8.4567
Ta In Pt
2 1 1
direct
0.0000 0.0000 0.2346
0.0000 0.0000 0.7654
0.5000 0.5000 0.5000
0.5000 0.5000 0.0000
```

***

[3]
Y2PPb: optimized geometry, PBEsol.

Values from the calculation:
As for the total energy: -6.99 eV/atom. Its density of states at the Fermi level is 0.361 states/eV per atom. Its formation enthalpy at 0 K is -4.52 eV per formula unit. The symmetry is R-3m. The calculation puts the offset from the most stable computed form at 0.000 eV/atom.

The structure in POSCAR format:
```
Y2PPb
1.0
3.8750 0.0000 0.0000
-1.9375 3.3559 0.0000
0.0000 0.0000 23.4631
Y P Pb
6 3 3
direct
0.0000 0.0000 0.2331
0.0000 0.0000 0.7669
0.3333 0.6667 0.4336
0.3333 0.6667 0.8998
0.6667 0.3333 0.1002
0.6667 0.3333 0.5664
0.0000 0.0000 0.5000
0.3333 0.6667 0.1667
0.6667 0.3333 0.8333
0.0000 0.0000 0.0000
0.3333 0.6667 0.6667
0.6667 0.3333 0.3333
```

***

[4]
VOF: optimized geometry, PBEsol.

Values from the calculation:
As for the total energy: -8.09 eV/atom. Its density of states at the Fermi level is 0.803 states/eV per atom. The symmetry is P4_12_12. For the uncorrected formation energy, the calculation gives -2.489 eV/atom.

The structure in POSCAR format:
```
VOF
1.0
4.6049 0.0000 0.0000
0.0000 4.6049 0.0000
0.0000 0.0000 6.0640
V O F
4 4 4
direct
0.0325 0.0325 0.0000
0.4675 0.5325 0.2500
0.5325 0.4675 0.7500
0.9675 0.9675 0.5000
0.1848 0.8152 0.2500
0.3152 0.3152 0.0000
0.6848 0.6848 0.5000
0.8152 0.1848 0.7500
0.2070 0.7930 0.7500
0.2930 0.2930 0.5000
0.7070 0.7070 0.0000
0.7930 0.2070 0.2500
```